1.
This record from Alexandria describes MgGePCl2 after structural relaxation. The functional is PBE.

a = 4.8749 Å, b = 4.8749 Å, c = 5.0148 Å
α = 90.00°, β = 90.00°, γ = 90.00°
Last column: nearest neighbours and their distance in Å.
Space group P4/mmm (No. 123)
Symmetry-distinct sites (fractional):
1 Mg 0.0000 0.0000 0.0000 [1 per cell]  4 P 3.45, 8 Cl 3.50
2 Ge 0.5000 0.5000 0.5000 [1 per cell]  4 Cl 2.44, 2 P 2.51
3 P 0.5000 0.5000 0.0000 [1 per cell]  2 Ge 2.51
4 Cl 0.0000 0.5000 0.5000 [2 per cell]  2 Ge 2.44

E = -3.16 eV per atom
Formation energy from raw total energies = -0.464 eV per formula unit
Volume = 119.2 Å³/cell
Distance to the lowest polymorph of the same formula = 0.111 eV per atom

2.
This record from Alexandria describes BaYAlAs2 after structural relaxation. The functional is PBE.

a = 5.2541 Å, b = 5.2541 Å, c = 5.2903 Å
α = 90.00°, β = 90.00°, γ = 90.00°
Last column: nearest neighbours and their distance in Å.
Space group P4/mmm (No. 123)
Symmetry-distinct sites (fractional):
1 Ba 0.0000 0.0000 0.0000 [1 per cell]  4 Y 3.72, 8 As 3.73
2 Y 0.5000 0.5000 0.0000 [1 per cell]  2 Al 2.65
3 Al 0.5000 0.5000 0.5000 [1 per cell]  4 As 2.63, 2 Y 2.65
4 As 0.0000 0.5000 0.5000 [2 per cell]  2 Al 2.63

E = -4.31 eV per atom
Formation energy = -0.02 eV per atom
Volume = 146.0 Å³/cell